[1]
{
  "formula": "Na2YCo2",
  "functional": "PBE",
  "state": "relaxed",
  "lattice": [[-1.9811, 1.9811, 6.7990], [1.9811, -1.9811, 6.7990], [1.9811, 1.9811, -6.7990]],
  "species": ["Na", "Na", "Y", "Co", "Co"],
  "fractional_positions": [[0.2500, 0.7500, 0.5000], [0.7500, 0.2500, 0.5000], [0.0000, 0.0000, 0.0000], [0.4219, 0.4219, 0.0000], [0.5781, 0.5781, 0.0000]],
  "e_above_lowest_polymorph_ev_per_atom": 0.000,
  "space_group": "I4/mmm, No. 139",
  "vol_a3_per_atom": 21.3,
  "m_tot_mub_per_cell": 2.7,
  "dos_at_fermi_per_ev_cell": 4.75,
  "formation_enthalpy_0k_mev_per_atom": 391
}

---

[2]
{
  "formula": "KNa4Hg",
  "functional": "PBE",
  "state": "relaxed",
  "lattice": [[8.3027, -4.2914, 0.0000], [8.3027, 4.2914, 0.0000], [-2.1439, 0.0000, 6.4253]],
  "species": ["K", "K", "Na", "Na", "Na", "Na", "Na", "Na", "Na", "Na", "Hg", "Hg"],
  "fractional_positions": [[0.2221, 0.2221, 0.1511], [0.7779, 0.7779, 0.8489], [0.0927, 0.6897, 0.4365], [0.2109, 0.7891, 0.0000], [0.3103, 0.9073, 0.5635], [0.3434, 0.3434, 0.7710], [0.6566, 0.6566, 0.2290], [0.6897, 0.0927, 0.4365], [0.7891, 0.2109, 0.0000], [0.9073, 0.3103, 0.5635], [0.4633, 0.4633, 0.2635], [0.5367, 0.5367, 0.7365]],
  "e_above_lowest_polymorph_ev_per_atom": 0.029,
  "space_group": "C2/m, No. 12",
  "vol_a3_per_atom": 38.2,
  "m_tot_mub_per_cell": 0.0,
  "dos_at_fermi_per_ev_cell": 5.98,
  "formation_enthalpy_0k_mev_per_atom": -65
}

---

[3]
{
  "formula": "Hf4MgIr5",
  "functional": "PBE",
  "state": "relaxed",
  "lattice": [[3.3474, 0.0000, 0.0000], [0.0000, 3.3474, 0.0000], [0.0000, 0.0000, 15.4127]],
  "species": ["Hf", "Hf", "Hf", "Hf", "Mg", "Ir", "Ir", "Ir", "Ir", "Ir"],
  "fractional_positions": [[0.0000, 0.0000, 0.1014], [0.0000, 0.0000, 0.3082], [0.0000, 0.0000, 0.6918], [0.0000, 0.0000, 0.8986], [0.0000, 0.0000, 0.5000], [0.5000, 0.5000, 0.0000], [0.5000, 0.5000, 0.2002], [0.5000, 0.5000, 0.3988], [0.5000, 0.5000, 0.6012], [0.5000, 0.5000, 0.7998]],
  "space_group": "P4/mmm, No. 123",
  "vol_a3_per_atom": 17.3,
  "m_tot_mub_per_cell": 0.0,
  "dos_at_fermi_per_ev_cell": 4.97,
  "formation_enthalpy_0k_mev_per_atom": -873
}

---

[4]
{
  "formula": "BaSn2Sb2",
  "functional": "PBE",
  "state": "relaxed",
  "lattice": [[8.8380, 0.0000, 0.0000], [0.0000, 8.8380, 0.0000], [0.0000, 0.0000, 4.0637]],
  "species": ["Ba", "Ba", "Sn", "Sn", "Sn", "Sn", "Sb", "Sb", "Sb", "Sb"],
  "fractional_positions": [[0.0000, 0.0000, 0.0000], [0.5000, 0.5000, 0.0000], [0.1212, 0.3788, 0.0000], [0.3788, 0.8788, 0.0000], [0.6212, 0.1212, 0.0000], [0.8788, 0.6212, 0.0000], [0.1818, 0.6818, 0.5000], [0.3182, 0.1818, 0.5000], [0.6818, 0.8182, 0.5000], [0.8182, 0.3182, 0.5000]],
  "space_group": "P4/mbm, No. 127",
  "vol_a3_per_atom": 31.7,
  "m_tot_mub_per_cell": 0.0,
  "dos_at_fermi_per_ev_cell": 8.46,
  "energy_ev_per_fu": -19.4
}

---

[5]
{
  "formula": "Sm3Ag3SnSe8",
  "functional": "PBE",
  "state": "relaxed",
  "lattice": [[6.9633, -4.2005, 0.0000], [6.9633, 4.2005, 0.0000], [-4.4569, 0.0000, 6.8250]],
  "species": ["Sm", "Sm", "Sm", "Ag", "Ag", "Ag", "Sn", "Se", "Se", "Se", "Se", "Se", "Se", "Se", "Se"],
  "fractional_positions": [[0.0000, 0.0000, 0.0000], [0.0000, 0.5000, 0.5000], [0.5000, 0.0000, 0.5000], [0.0000, 0.5000, 0.0000], [0.5000, 0.0000, 0.0000], [0.5000, 0.5000, 0.5000], [0.5000, 0.5000, 0.0000], [0.2488, 0.2488, 0.2523], [0.2623, 0.2623, 0.7681], [0.2622, 0.7308, 0.2367], [0.2692, 0.7378, 0.7633], [0.7308, 0.2622, 0.2367], [0.7378, 0.2692, 0.7633], [0.7377, 0.7377, 0.2319], [0.7512, 0.7512, 0.7477]],
  "space_group": "C2/m, No. 12",
  "vol_a3_per_atom": 26.6,
  "m_tot_mub_per_cell": 0.0,
  "dos_at_fermi_per_ev_cell": 2.15,
  "energy_ev_per_fu": -69.3
}

---

[6]
{
  "formula": "ErPuS2",
  "functional": "PBE",
  "state": "relaxed",
  "lattice": [[1.9075, 1.1013, 6.8709], [-1.9075, 1.1013, 6.8709], [0.0000, -2.2026, 6.8709]],
  "species": ["Er", "Pu", "S", "S"],
  "fractional_positions": [[0.0000, 0.0000, 0.0000], [0.1747, 0.1747, 0.1747], [0.4149, 0.4149, 0.4149], [0.5911, 0.5911, 0.5911]],
  "e_above_lowest_polymorph_ev_per_atom": 0.102,
  "space_group": "R3m, No. 160",
  "vol_a3_per_atom": 21.7,
  "m_tot_mub_per_cell": 6.0,
  "dos_at_fermi_per_ev_cell": 10.10
}